Computed, not measured: Pm3Sm2Te8 after structural relaxation at the GGA-PBE level of DFT.

Values from the calculation:
For the calculated density, the calculation gives 5.78 g/cm3. The formation energy (no corrections) is -1.28 eV/atom. Its crystal system is monoclinic. The value obtained for the density of states at the Fermi level is 13.86 states/eV per cell. As for the total energy: -5.0310 eV/atom.

Lattice parameters (Å, degrees): 15.617 8.907 7.663 90.00 108.87 90.00
Space group C2/m (No. 12)
Inequivalent atoms, fractional coordinates:
Pm 0.000 0.000 0.000
Pm 0.000 0.259 0.500
Sm 0.249 0.500 0.167
Te 0.120 0.500 0.400
Te 0.122 0.000 0.419
Te 0.123 0.247 0.915